Record 1
# BaAl2BiC

An optimized crystal structure of BaAl2BiC (PBE, the Alexandria database).

Cell lengths 4.639, 4.639, 5.561 Å; angles 90.00, 90.00, 90.00 degrees
Space group P4/mmm (No. 123)
One atom of each set of equivalent atoms:
Ba1 0.000 0.000 0.000
Al1 0.000 0.500 0.500
Bi1 0.500 0.500 0.000
C1 0.500 0.500 0.500

## Properties
Energy of formation in eV per atom: 0.55


Record 2
# Cs2RbTlCl6

An optimized crystal structure of Cs2RbTlCl6 (PBE, the Alexandria database).

Cell lengths 11.494, 11.494, 11.494 Å; angles 90.00, 90.00, 90.00 degrees
Space group Fm-3m (No. 225)
One atom of each set of equivalent atoms:
Cs1 0.250 0.250 0.250
Rb1 0.000 0.000 0.000
Tl1 0.000 0.000 0.500
Cl1 0.000 0.000 0.272

## Properties
VASP energy in eV/atom: -3.1010


Record 3
# CePr12Y2

An optimized crystal structure of CePr12Y2 (PBE, the Alexandria database).

Cell lengths 6.632, 6.632, 25.711 Å; angles 90.00, 90.00, 90.00 degrees
Space group P4/nbm (No. 125, origin choice 2)
One atom of each set of equivalent atoms:
Ce1 0.250 0.750 0.000
Pr1 0.066 0.566 0.112
Pr2 0.082 0.582 0.437
Pr3 0.250 0.250 0.214
Pr4 0.250 0.250 0.337
Y1 0.250 0.750 0.272

## Properties
Energy of formation in eV per atom: 0.32


Record 4
# Ta2Pd2Au7

An optimized crystal structure of Ta2Pd2Au7 (PBE, the Alexandria database).

Cell lengths 7.252, 7.855, 7.089 Å; angles 90.00, 98.76, 90.00 degrees
Space group C2/m (No. 12)
One atom of each set of equivalent atoms:
Ta1 0.000 0.178 0.000
Pd1 0.141 0.500 0.895
Au1 0.000 0.500 0.500
Au2 0.110 0.000 0.357
Au3 0.238 0.178 0.725

## Properties
Energy of formation in eV per atom: -0.01


Record 5
# Te2PbSe

An optimized crystal structure of Te2PbSe (PBE, the Alexandria database).

Cell lengths 11.053, 4.474, 7.433 Å; angles 90.00, 132.02, 90.00 degrees
Space group Cm (No. 8)
One atom of each set of equivalent atoms:
Te1 0.000 0.000 0.000
Te2 0.241 0.500 0.002
Pb1 0.233 0.000 0.579
Se1 0.011 0.500 0.527

## Properties
VASP energy in eV/atom: -3.4940


Record 6
# NaTe2Se3

An optimized crystal structure of NaTe2Se3 (PBE, the Alexandria database).

Cell lengths 11.696, 10.017, 7.801 Å; angles 90.00, 90.00, 90.00 degrees
Space group Cmcm (No. 63)
One atom of each set of equivalent atoms:
Na1 0.000 0.207 0.250
Te1 0.183 0.500 0.000
Se1 0.000 0.494 0.250
Se2 0.158 0.022 0.750

## Properties
VASP energy in eV/atom: -3.2119


Record 7
# AlTcBr2

An optimized crystal structure of AlTcBr2 (PBE, the Alexandria database).

Cell lengths 5.221, 5.221, 3.428 Å; angles 90.00, 90.00, 90.00 degrees
Space group P4/mmm (No. 123)
One atom of each set of equivalent atoms:
Al1 0.000 0.000 0.000
Tc1 0.500 0.500 0.000
Br1 0.000 0.500 0.500

## Properties
VASP energy in eV/atom: -3.6676


Record 8
# Pa2GaCo4Si3

An optimized crystal structure of Pa2GaCo4Si3 (PBE, the Alexandria database).

Cell lengths 3.903, 3.903, 9.757 Å; angles 90.00, 90.00, 90.00 degrees
Space group P-4m2 (No. 115)
One atom of each set of equivalent atoms:
Pa1 0.000 0.500 0.248
Ga1 0.000 0.000 0.500
Co1 0.000 0.000 0.000
Co2 0.000 0.500 0.641
Co3 0.500 0.500 0.000
Si1 0.000 0.500 0.874
Si2 0.500 0.500 0.500

## Properties
VASP energy in eV/atom: -7.3767